[1]
! GGA-PBEsol Li2NiP2O7, relaxed; values from VASP
! * formation energy from raw total energies: -24.2 eV per formula unit
! * raw total energy: -6.885 eV/atom
! * energy above the lowest structure with this stoichiometry: 0.021 eV per atom
! * symmetry: P2_1/c (14)
&SYSTEM
  ibrav = 0, nat = 48, ntyp = 4
/
ATOMIC_SPECIES
Li 6.94 Li.upf
Ni 58.69 Ni.upf
P 30.97 P.upf
O 16.00 O.upf
ATOMIC_POSITIONS crystal
Li 0.032 0.116 0.372
Li 0.032 0.384 0.872
Li 0.420 0.202 0.170
Li 0.420 0.298 0.670
Li 0.580 0.702 0.330
Li 0.580 0.798 0.830
Li 0.968 0.616 0.128
Li 0.968 0.884 0.628
Ni 0.032 0.163 0.744
Ni 0.032 0.337 0.244
Ni 0.968 0.663 0.756
Ni 0.968 0.837 0.256
P 0.265 0.679 0.526
P 0.265 0.821 0.026
P 0.476 0.530 0.774
P 0.476 0.970 0.274
P 0.524 0.030 0.726
P 0.524 0.470 0.226
P 0.735 0.179 0.974
P 0.735 0.321 0.474
O 0.008 0.191 0.157
O 0.008 0.309 0.657
O 0.196 0.732 0.652
O 0.196 0.768 0.152
O 0.217 0.538 0.820
O 0.217 0.962 0.320
O 0.268 0.111 0.631
O 0.268 0.389 0.131
O 0.300 0.560 0.571
O 0.300 0.940 0.071
O 0.401 0.576 0.217
O 0.401 0.924 0.717
O 0.423 0.212 0.956
O 0.423 0.288 0.456
O 0.577 0.712 0.544
O 0.577 0.788 0.044
O 0.599 0.076 0.283
O 0.599 0.424 0.783
O 0.700 0.060 0.929
O 0.700 0.440 0.429
O 0.732 0.611 0.869
O 0.732 0.889 0.369
O 0.783 0.038 0.680
O 0.783 0.462 0.180
O 0.804 0.232 0.848
O 0.804 0.268 0.348
O 0.992 0.691 0.343
O 0.992 0.809 0.843
CELL_PARAMETERS angstrom
4.979 0.000 0.000
0.000 13.101 0.000
-4.670 0.000 7.883

[2]
! GGA-PBEsol SiMoRh, relaxed; values from VASP
! * formation energy from raw total energies: -0.1 eV per formula unit
! * raw total energy: -8.586 eV/atom
! * symmetry: F-43m (216)
! * DOS(E_F): 1.37 states/eV/atom
&SYSTEM
  ibrav = 0, nat = 3, ntyp = 3
/
ATOMIC_SPECIES
Si 28.09 Si.upf
Mo 95.94 Mo.upf
Rh 102.91 Rh.upf
ATOMIC_POSITIONS crystal
Si 0.000 0.000 0.000
Mo 0.250 0.250 0.250
Rh 0.750 0.750 0.750
CELL_PARAMETERS angstrom
0.000 2.846 2.846
2.846 0.000 2.846
2.846 2.846 0.000

[3]
! GGA-PBEsol YInCl2, relaxed; values from VASP
! * formation energy from raw total energies: -3.9 eV per formula unit
! * raw total energy: -4.424 eV/atom
! * energy above the lowest structure with this stoichiometry: 0.316 eV per atom
! * symmetry: I4/mmm (139)
! * DOS(E_F): 0.59 states/eV/atom
&SYSTEM
  ibrav = 0, nat = 4, ntyp = 3
/
ATOMIC_SPECIES
Y 88.91 Y.upf
In 114.82 In.upf
Cl 35.45 Cl.upf
ATOMIC_POSITIONS crystal
Y 0.000 0.000 0.000
In 0.500 0.500 0.000
Cl 0.250 0.750 0.500
Cl 0.750 0.250 0.500
CELL_PARAMETERS angstrom
-2.265 2.265 4.364
2.265 -2.265 4.364
2.265 2.265 -4.364

[4]
! GGA-PBEsol Cs2BeSe2, relaxed; values from VASP
! * formation energy from raw total energies: -4.5 eV per formula unit
! * raw total energy: -3.608 eV/atom
! * symmetry: I4/mmm (139)
! * DOS(E_F): 0.00 states/eV/atom
&SYSTEM
  ibrav = 0, nat = 5, ntyp = 3
/
ATOMIC_SPECIES
Cs 132.91 Cs.upf
Be 9.01 Be.upf
Se 78.96 Se.upf
ATOMIC_POSITIONS crystal
Cs 0.250 0.750 0.500
Cs 0.750 0.250 0.500
Be 0.000 0.000 0.000
Se 0.167 0.167 0.000
Se 0.833 0.833 0.000
CELL_PARAMETERS angstrom
-3.428 3.428 5.993
3.428 -3.428 5.993
3.428 3.428 -5.993

[5]
! GGA-PBEsol CaNi2PbO, relaxed; values from VASP
! * formation energy from raw total energies: 1.6 eV per formula unit
! * raw total energy: -4.423 eV/atom
! * symmetry: P4/mmm (123)
! * DOS(E_F): 1.37 states/eV/atom
&SYSTEM
  ibrav = 0, nat = 5, ntyp = 4
/
ATOMIC_SPECIES
Ca 40.08 Ca.upf
Ni 58.69 Ni.upf
Pb 207.20 Pb.upf
O 16.00 O.upf
ATOMIC_POSITIONS crystal
Ca 0.000 0.000 0.000
Ni 0.000 0.500 0.500
Ni 0.500 0.000 0.500
Pb 0.500 0.500 0.500
O 0.500 0.500 0.000
CELL_PARAMETERS angstrom
4.713 0.000 0.000
0.000 4.713 0.000
0.000 0.000 4.530

[6]
! GGA-PBEsol NaFeS2, relaxed; values from VASP
! * formation energy from raw total energies: -0.1 eV per formula unit
! * raw total energy: -4.806 eV/atom
! * symmetry: Fm-3m (225)
! * DOS(E_F): 0.53 states/eV/atom
&SYSTEM
  ibrav = 0, nat = 4, ntyp = 3
/
ATOMIC_SPECIES
Na 22.99 Na.upf
Fe 55.84 Fe.upf
S 32.06 S.upf
ATOMIC_POSITIONS crystal
Na 0.000 0.000 0.000
Fe 0.500 0.500 0.500
S 0.250 0.250 0.250
S 0.750 0.750 0.750
CELL_PARAMETERS angstrom
0.000 3.024 3.024
3.024 0.000 3.024
3.024 3.024 0.000

[7]
! GGA-PBEsol InFe2Ir, relaxed; values from VASP
! * raw total energy: -7.599 eV/atom
! * symmetry: P4mm (99)
! * DOS(E_F): 1.11 states/eV/atom
&SYSTEM
  ibrav = 0, nat = 4, ntyp = 3
/
ATOMIC_SPECIES
In 114.82 In.upf
Fe 55.84 Fe.upf
Ir 192.22 Ir.upf
ATOMIC_POSITIONS crystal
In 0.000 0.000 0.000
Fe 0.000 0.000 0.532
Fe 0.500 0.500 0.728
Ir 0.500 0.500 0.295
CELL_PARAMETERS angstrom
2.982 0.000 0.000
0.000 2.982 0.000
0.000 0.000 6.254

[8]
! GGA-PBEsol Re4As5S4, relaxed; values from VASP
! * formation energy from raw total energies: -4.8 eV per formula unit
! * raw total energy: -7.785 eV/atom
! * symmetry: F-43m (216)
! * DOS(E_F): 0.21 states/eV/atom
&SYSTEM
  ibrav = 0, nat = 13, ntyp = 3
/
ATOMIC_SPECIES
Re 186.21 Re.upf
As 74.92 As.upf
S 32.06 S.upf
ATOMIC_POSITIONS crystal
Re 0.401 0.401 0.401
Re 0.401 0.401 0.797
Re 0.401 0.797 0.401
Re 0.797 0.401 0.401
As 0.000 0.000 0.000
As 0.145 0.145 0.145
As 0.145 0.145 0.566
As 0.145 0.566 0.145
As 0.566 0.145 0.145
S 0.103 0.632 0.632
S 0.632 0.103 0.632
S 0.632 0.632 0.103
S 0.632 0.632 0.632
CELL_PARAMETERS angstrom
0.000 4.941 4.941
4.941 0.000 4.941
4.941 4.941 0.000